An optimized crystal structure of PaVH2O6. Source: the Alexandria database, functional GGA+U.

* DFT total energy: -7.44 eV per atom
* crystal system: triclinic
* density: 5.66 g/cm³

a = 5.354 Å, b = 5.089 Å, c = 5.659 Å
α = 62.55°, β = 64.59°, γ = 57.04°
Sites, in units of the cell vectors:
V 0.316 0.316 0.051
H 0.438 0.707 0.248
H 0.194 0.925 0.855
O 0.561 0.211 0.277
Pa 0.816 0.816 0.551
O 0.375 0.723 0.821
O 0.071 0.421 0.826
O 0.258 0.909 0.282
O 0.976 0.527 0.283
O 0.656 0.105 0.820